# Zr3ReSi

Zr3ReSi after structural relaxation (PBE, the Alexandria database).

a = 5.024 Å, b = 5.024 Å, c = 5.024 Å
α = 90.00°, β = 90.00°, γ = 90.00°
Fractional coordinates of all 5 atoms:
Zr  0.000  0.000  0.500
Zr  0.000  0.500  0.000
Zr  0.500  0.000  0.000
Re  0.000  0.000  0.000
Si  0.500  0.500  0.500

Computed properties:
The value obtained for the density is 6.4 g cm⁻³. The formation energy from raw total energies comes out at 0.687 eV/atom. The calculation puts the polymorph energy (0 for the lowest one) at 0.0 meV per atom.

***

# LaZrZn

LaZrZn after structural relaxation (PBE, the Alexandria database).

a = 4.975 Å, b = 4.975 Å, c = 3.538 Å
α = 90.00°, β = 90.00°, γ = 120.00°
Fractional coordinates of all 3 atoms:
La  0.000  0.000  0.000
Zr  0.333  0.667  0.505
Zn  0.667  0.333  0.493

Computed properties:
The value obtained for the density is 6.5 g cm⁻³. The calculation puts the polymorph energy (0 for the lowest one) at 144.8 meV per atom. Its formation energy from the elements is 6.46 kJ per mole of atoms.

***

# Na2Tl3Pb7

Na2Tl3Pb7 after structural relaxation (PBE, the Alexandria database).

a = 5.977 Å, b = 3.442 Å, c = 18.493 Å
α = 90.00°, β = 92.41°, γ = 90.00°
Fractional coordinates of all 12 atoms:
Na  0.208  0.000  0.297
Na  0.792  0.000  0.703
Tl  0.000  0.000  0.000
Tl  0.277  0.500  0.635
Tl  0.723  0.500  0.365
Pb  0.199  0.500  0.147
Pb  0.246  0.000  0.466
Pb  0.304  0.000  0.827
Pb  0.500  0.500  0.000
Pb  0.696  0.000  0.173
Pb  0.754  0.000  0.534
Pb  0.801  0.500  0.853

Computed properties:
The value obtained for the density is 9.2 g cm⁻³. Its formation energy from the elements is 0.70 kJ per mole of atoms.

***

# GaSeS

GaSeS after structural relaxation (PBE, the Alexandria database).

a = 6.168 Å, b = 6.168 Å, c = 4.695 Å
α = 99.44°, β = 99.44°, γ = 60.96°
Fractional coordinates of all 6 atoms:
Ga  0.234  0.766  0.000
Ga  0.766  0.234  0.000
Se  0.594  0.594  0.396
Se  0.841  0.841  0.127
S  0.143  0.143  0.880
S  0.424  0.424  0.637

Computed properties:
The value obtained for the density is 3.9 g cm⁻³. The formation energy from raw total energies comes out at -0.431 eV/atom. The calculation puts the polymorph energy (0 for the lowest one) at 18.2 meV per atom.

***

# CsTeH2

CsTeH2 after structural relaxation (PBE, the Alexandria database).

a = 8.112 Å, b = 8.112 Å, c = 8.112 Å
α = 141.81°, β = 141.81°, γ = 55.12°
Fractional coordinates of all 8 atoms:
Cs  0.000  0.000  0.000
Cs  0.750  0.250  0.500
Te  0.250  0.750  0.500
Te  0.500  0.500  0.000
H  0.373  0.125  0.748
H  0.375  0.627  0.752
H  0.377  0.625  0.252
H  0.875  0.623  0.248

Computed properties:
The value obtained for the density is 4.3 g cm⁻³. The calculation puts the polymorph energy (0 for the lowest one) at 526.9 meV per atom.

***

# Li5Tl3

Li5Tl3 after structural relaxation (PBE, the Alexandria database).

a = 7.598 Å, b = 7.596 Å, c = 4.822 Å
α = 71.53°, β = 71.47°, γ = 37.00°
Fractional coordinates of all 8 atoms:
Li  0.000  0.000  0.000
Li  0.122  0.122  0.378
Li  0.378  0.378  0.122
Li  0.622  0.622  0.878
Li  0.878  0.878  0.622
Tl  0.242  0.242  0.758
Tl  0.500  0.500  0.500
Tl  0.758  0.758  0.242

Computed properties:
The value obtained for the density is 6.8 g cm⁻³. The calculation puts the polymorph energy (0 for the lowest one) at 4.6 meV per atom. Its formation energy from the elements is -21.95 kJ per mole of atoms.

***

# TbThGeS

TbThGeS after structural relaxation (PBE, the Alexandria database).

a = 7.032 Å, b = 7.032 Å, c = 7.032 Å
α = 34.53°, β = 34.53°, γ = 34.53°
Fractional coordinates of all 4 atoms:
Tb  0.000  0.000  0.000
Th  0.501  0.501  0.501
Ge  0.748  0.748  0.748
S  0.253  0.253  0.253

Computed properties:
The value obtained for the density is 8.3 g cm⁻³. The formation energy from raw total energies comes out at -1.386 eV/atom.

***

# BiOs2PtF

BiOs2PtF after structural relaxation (PBE, the Alexandria database).

a = 5.137 Å, b = 5.137 Å, c = 5.098 Å
α = 90.00°, β = 90.00°, γ = 90.00°
Fractional coordinates of all 5 atoms:
Bi  0.000  0.000  0.000
Os  0.000  0.500  0.000
Os  0.500  0.000  0.000
Pt  0.000  0.000  0.500
F  0.500  0.500  0.500

Computed properties:
The value obtained for the density is 9.9 g cm⁻³. The formation energy from raw total energies comes out at 2.378 eV/atom.

***

# PrNdSm3Th

PrNdSm3Th after structural relaxation (PBE, the Alexandria database).

a = 8.140 Å, b = 5.149 Å, c = 10.331 Å
α = 90.00°, β = 108.39°, γ = 90.00°
Fractional coordinates of all 12 atoms:
Pr  0.175  0.250  0.295
Pr  0.825  0.750  0.705
Nd  0.499  0.750  0.870
Nd  0.501  0.250  0.130
Sm  0.170  0.750  0.045
Sm  0.171  0.250  0.791
Sm  0.177  0.750  0.543
Sm  0.823  0.250  0.457
Sm  0.829  0.750  0.209
Sm  0.830  0.250  0.955
Th  0.500  0.250  0.621
Th  0.500  0.750  0.379

Computed properties:
The value obtained for the density is 7.8 g cm⁻³. Its formation energy from the elements is 3.32 kJ per mole of atoms.

***

# Pr3Al2Ni3

Pr3Al2Ni3 after structural relaxation (PBE, the Alexandria database).

a = 7.607 Å, b = 14.136 Å, c = 6.411 Å
α = 90.00°, β = 90.00°, γ = 90.00°
Fractional coordinates of all 32 atoms:
Pr  0.035  0.108  0.153
Pr  0.035  0.392  0.153
Pr  0.106  0.750  0.373
Pr  0.394  0.250  0.873
Pr  0.465  0.608  0.653
Pr  0.465  0.892  0.653
Pr  0.535  0.108  0.347
Pr  0.535  0.392  0.347
Pr  0.606  0.750  0.127
Pr  0.894  0.250  0.627
Pr  0.965  0.608  0.847
Pr  0.965  0.892  0.847
Al  0.185  0.086  0.637
Al  0.185  0.414  0.637
Al  0.315  0.586  0.137
Al  0.315  0.914  0.137
Al  0.685  0.086  0.863
Al  0.685  0.414  0.863
Al  0.815  0.586  0.363
Al  0.815  0.914  0.363
Ni  0.123  0.548  0.416
Ni  0.123  0.952  0.416
Ni  0.236  0.250  0.441
Ni  0.264  0.750  0.941
Ni  0.377  0.048  0.916
Ni  0.377  0.452  0.916
Ni  0.623  0.548  0.084
Ni  0.623  0.952  0.084
Ni  0.736  0.250  0.059
Ni  0.764  0.750  0.559
Ni  0.877  0.048  0.584
Ni  0.877  0.452  0.584

Computed properties:
The value obtained for the density is 6.3 g cm⁻³. Its formation energy from the elements is -41.13 kJ per mole of atoms.

***

# Nd3Y5S8

Nd3Y5S8 after structural relaxation (PBE, the Alexandria database).

a = 7.979 Å, b = 7.979 Å, c = 7.979 Å
α = 59.61°, β = 59.61°, γ = 59.61°
Fractional coordinates of all 16 atoms:
Nd  0.000  0.500  0.500
Nd  0.500  0.000  0.500
Nd  0.500  0.500  0.000
Y  0.000  0.000  0.000
Y  0.000  0.000  0.500
Y  0.000  0.500  0.000
Y  0.500  0.000  0.000
Y  0.500  0.500  0.500
S  0.240  0.750  0.750
S  0.245  0.245  0.245
S  0.250  0.250  0.760
S  0.250  0.760  0.250
S  0.750  0.240  0.750
S  0.750  0.750  0.240
S  0.755  0.755  0.755
S  0.760  0.250  0.250

Computed properties:
The value obtained for the density is 5.3 g cm⁻³. The formation energy from raw total energies comes out at -2.003 eV/atom.

***

# RbTlMo2N

RbTlMo2N after structural relaxation (PBE, the Alexandria database).

a = 4.782 Å, b = 4.782 Å, c = 5.887 Å
α = 90.00°, β = 90.00°, γ = 90.00°
Fractional coordinates of all 5 atoms:
Rb  0.000  0.000  0.000
Tl  0.000  0.000  0.500
Mo  0.000  0.500  0.000
Mo  0.500  0.000  0.000
N  0.500  0.500  0.500

Computed properties:
The value obtained for the density is 6.1 g cm⁻³. The formation energy from raw total energies comes out at 3.926 eV/atom.

***

# Sc2InMo

Sc2InMo after structural relaxation (PBE, the Alexandria database).

a = 5.285 Å, b = 3.024 Å, c = 5.554 Å
α = 90.00°, β = 113.66°, γ = 90.00°
Fractional coordinates of all 4 atoms:
Sc  0.000  0.000  0.000
Sc  0.000  0.500  0.500
In  0.500  0.000  0.500
Mo  0.500  0.500  0.000

Computed properties:
The value obtained for the density is 6.1 g cm⁻³. Its formation energy from the elements is 8.85 kJ per mole of atoms.

***

# AcCuAs2

AcCuAs2 after structural relaxation (PBE, the Alexandria database).

a = 4.125 Å, b = 4.125 Å, c = 10.666 Å
α = 90.00°, β = 90.00°, γ = 90.00°
Fractional coordinates of all 8 atoms:
Ac  0.250  0.250  0.240
Ac  0.750  0.750  0.760
Cu  0.250  0.750  0.500
Cu  0.750  0.250  0.500
As  0.250  0.250  0.636
As  0.250  0.750  0.000
As  0.750  0.250  0.000
As  0.750  0.750  0.364

Computed properties:
The value obtained for the density is 8.1 g cm⁻³. The calculation puts the polymorph energy (0 for the lowest one) at 0.0 meV per atom. Its formation energy from the elements is -77.21 kJ per mole of atoms.

***

# BeZnMo2

BeZnMo2 after structural relaxation (PBE, the Alexandria database).

a = 3.192 Å, b = 3.192 Å, c = 5.595 Å
α = 90.00°, β = 90.00°, γ = 90.00°
Fractional coordinates of all 4 atoms:
Be  0.000  0.000  0.000
Zn  0.500  0.500  0.754
Mo  0.000  0.000  0.466
Mo  0.500  0.500  0.231

Computed properties:
The value obtained for the density is 7.8 g cm⁻³. The calculation puts the polymorph energy (0 for the lowest one) at 113.8 meV per atom. Its formation energy from the elements is 18.97 kJ per mole of atoms.

***

# BaLi2Mn

BaLi2Mn after structural relaxation (PBE, the Alexandria database).

a = 5.414 Å, b = 5.414 Å, c = 5.414 Å
α = 60.00°, β = 60.00°, γ = 60.00°
Fractional coordinates of all 4 atoms:
Ba  0.000  0.000  0.000
Li  0.500  0.500  0.500
Li  0.750  0.750  0.750
Mn  0.250  0.250  0.250

Computed properties:
The value obtained for the density is 3.1 g cm⁻³. The calculation puts the polymorph energy (0 for the lowest one) at 74.5 meV per atom. Its formation energy from the elements is 42.27 kJ per mole of atoms.

***

# PrEr4Sc4

PrEr4Sc4 after structural relaxation (PBE, the Alexandria database).

a = 7.659 Å, b = 7.659 Å, c = 7.659 Å
α = 95.65°, β = 95.65°, γ = 143.41°
Fractional coordinates of all 9 atoms:
Pr  0.000  0.000  0.000
Er  0.000  0.330  0.330
Er  0.000  0.670  0.670
Er  0.330  0.000  0.330
Er  0.670  0.000  0.670
Sc  0.331  0.331  0.663
Sc  0.331  0.669  0.000
Sc  0.669  0.331  0.000
Sc  0.669  0.669  0.337

Computed properties:
The value obtained for the density is 6.5 g cm⁻³. The calculation puts the polymorph energy (0 for the lowest one) at 0.0 meV per atom. Its formation energy from the elements is 5.52 kJ per mole of atoms.

***

# Pm3AsPCl

Pm3AsPCl after structural relaxation (PBE, the Alexandria database).

a = 8.401 Å, b = 4.183 Å, c = 9.331 Å
α = 90.00°, β = 102.01°, γ = 90.00°
Fractional coordinates of all 12 atoms:
Pm  0.084  0.250  0.349
Pm  0.211  0.250  0.990
Pm  0.397  0.750  0.633
Pm  0.603  0.250  0.367
Pm  0.789  0.750  0.010
Pm  0.916  0.750  0.651
As  0.327  0.750  0.293
As  0.673  0.250  0.707
P  0.157  0.250  0.659
P  0.843  0.750  0.341
Cl  0.393  0.750  0.923
Cl  0.607  0.250  0.077

Computed properties:
The value obtained for the density is 6.0 g cm⁻³. The formation energy from raw total energies comes out at -1.372 eV/atom.

***

# Ho2Ni2Ir

Ho2Ni2Ir after structural relaxation (PBE, the Alexandria database).

a = 5.145 Å, b = 5.145 Å, c = 7.920 Å
α = 101.91°, β = 101.91°, γ = 61.34°
Fractional coordinates of all 10 atoms:
Ho  0.018  0.282  0.152
Ho  0.282  0.018  0.652
Ho  0.718  0.982  0.348
Ho  0.982  0.718  0.848
Ni  0.244  0.495  0.502
Ni  0.495  0.244  0.002
Ni  0.505  0.756  0.998
Ni  0.756  0.505  0.498
Ir  0.332  0.668  0.250
Ir  0.668  0.332  0.750

Computed properties:
The value obtained for the density is 11.9 g cm⁻³. Its formation energy from the elements is -57.47 kJ per mole of atoms.

***

# ZnOsW2

ZnOsW2 after structural relaxation (PBE, the Alexandria database).

a = 5.214 Å, b = 5.214 Å, c = 5.214 Å
α = 145.02°, β = 131.09°, γ = 61.54°
Fractional coordinates of all 4 atoms:
Zn  0.000  0.000  0.000
Os  0.500  0.500  0.000
W  0.256  0.756  0.500
W  0.744  0.244  0.500

Computed properties:
The value obtained for the density is 17.1 g cm⁻³. Its formation energy from the elements is 19.89 kJ per mole of atoms.